(1)
Computed, not measured: a geometry-optimized CoTeSe3 structure at the PBE level of DFT.

## Properties
- Symmetry: Pm-3m (221)
- Excess energy over the best structure of this formula in the dataset: 0 meV/atom
- Fermi-level density of states: 6.61 states/eV per cell

Structure (POSCAR):
```
CoTeSe3
1.0
4.7160 0.0000 0.0000
0.0000 4.7160 0.0000
0.0000 0.0000 4.7160
Te Se Co
1 3 1
direct
0.5000 0.5000 0.5000 Te
0.0000 0.5000 0.0000 Se
0.0000 0.0000 0.5000 Se
0.5000 0.0000 0.0000 Se
0.0000 0.0000 0.0000 Co
```

***

(2)
Computed, not measured: a geometry-optimized CoTeSe2 structure at the PBE level of DFT.

## Properties
- Total energy: -16.26 eV/cell
- Symmetry: I4/mmm (139)
- Fermi-level density of states: 2.20 states/eV per cell

Structure (POSCAR):
```
CoTeSe2
1.0
-1.3383 3.5864 2.9236
-0.8258 -4.3482 1.9005
2.5737 -0.3566 4.0547
Te Se Co
1 2 1
direct
0.5000 0.0000 0.5000 Te
0.0000 0.0000 0.0000 Se
0.5000 0.5000 0.0000 Se
0.0000 0.5000 0.5000 Co
```

***

(3)
Computed, not measured: a geometry-optimized Co2Te3Se structure at the PBE level of DFT.

## Properties
- Total energy: -56.78 eV/cell
- Symmetry: C2/m (12)
- Fermi-level density of states: 7.57 states/eV per cell

Structure (POSCAR):
```
Co2Te3Se
1.0
3.6596 0.0000 0.6011
1.7952 6.3671 0.5112
0.0150 -0.2200 11.3500
Co Te Se
4 6 2
direct
0.7454 0.8759 0.6333 Co
0.7485 0.3696 0.1334 Co
0.2515 0.6304 0.8666 Co
0.2546 0.1241 0.3667 Co
0.6328 0.2222 0.5123 Te
0.1182 0.9927 0.7708 Te
0.8818 0.0073 0.2292 Te
0.6341 0.7172 0.0145 Te
0.3659 0.2828 0.9855 Te
0.3672 0.7778 0.4877 Te
0.1436 0.4516 0.2613 Se
0.8564 0.5484 0.7387 Se
```

***

(4)
Computed, not measured: a geometry-optimized Co3TeSe structure at the PBE level of DFT.

## Properties
- Symmetry: Pm-3m (221)
- Excess energy over the best structure of this formula in the dataset: 0 meV/atom
- Fermi-level density of states: 6.69 states/eV per cell

Structure (POSCAR):
```
Co3TeSe
1.0
4.4300 0.0000 0.0000
0.0000 4.4300 0.0000
0.0000 0.0000 4.4300
Se Co Te
1 3 1
direct
0.0000 0.0000 0.0000 Se
0.0000 0.0000 0.5000 Co
0.0000 0.5000 0.0000 Co
0.5000 0.0000 0.0000 Co
0.5000 0.5000 0.5000 Te
```

***

no.,M_tot (μB per formula unit)
1,0.66
2,1.88
3,0.00
4,3.21